NiBPdPt: optimized geometry, GGA-PBE.

Structure (CIF):
```
data_NiBPdPt
_cell_length_a 4.135
_cell_length_b 4.135
_cell_length_c 4.135
_cell_angle_alpha 60.00
_cell_angle_beta 60.00
_cell_angle_gamma 60.00
_symmetry_space_group_name_H-M 'P 1'
_symmetry_Int_Tables_number 1
loop_
_symmetry_equiv_pos_as_xyz
'x,y,z'
loop_
_atom_site_label
_atom_site_fract_x
_atom_site_fract_y
_atom_site_fract_z
B1 0.000 0.000 0.000
Ni1 0.750 0.750 0.750
Pt1 0.250 0.250 0.250
Pd1 0.500 0.500 0.500
```

Calculated values
Total magnetic moment ... 0.00 Bohr magnetons per cell

=====

BeSiPt: optimized geometry, GGA-PBE.

Structure (CIF):
```
data_BeSiPt
_cell_length_a 3.831
_cell_length_b 3.831
_cell_length_c 3.831
_cell_angle_alpha 60.00
_cell_angle_beta 60.00
_cell_angle_gamma 60.00
_symmetry_space_group_name_H-M 'P 1'
_symmetry_Int_Tables_number 1
loop_
_symmetry_equiv_pos_as_xyz
'x,y,z'
loop_
_atom_site_label
_atom_site_fract_x
_atom_site_fract_y
_atom_site_fract_z
Pt1 0.250 0.250 0.250
Be1 0.000 0.000 0.000
Si1 0.750 0.750 0.750
```

Calculated values
Total magnetic moment ... 0.00 Bohr magnetons per cell

=====

Pm2C2F: optimized geometry, GGA-PBE.

Structure (CIF):
```
data_Pm2C2F
_cell_length_a 6.947
_cell_length_b 6.947
_cell_length_c 6.503
_cell_angle_alpha 108.01
_cell_angle_beta 108.01
_cell_angle_gamma 36.05
_symmetry_space_group_name_H-M 'P 1'
_symmetry_Int_Tables_number 1
loop_
_symmetry_equiv_pos_as_xyz
'x,y,z'
loop_
_atom_site_label
_atom_site_fract_x
_atom_site_fract_y
_atom_site_fract_z
Pm1 0.818 0.465 0.609
Pm2 0.465 0.818 0.109
Pm3 0.182 0.535 0.391
Pm4 0.535 0.182 0.891
C1 0.345 0.097 0.513
C2 0.655 0.903 0.487
C3 0.097 0.345 0.013
C4 0.903 0.655 0.987
F1 0.548 0.452 0.250
F2 0.452 0.548 0.750
```

Calculated values
Total magnetic moment ... 0.00 Bohr magnetons per cell

=====

LiZrIr2: optimized geometry, GGA-PBE.

Structure (CIF):
```
data_LiZrIr2
_cell_length_a 4.266
_cell_length_b 4.266
_cell_length_c 8.419
_cell_angle_alpha 90.00
_cell_angle_beta 90.00
_cell_angle_gamma 120.00
_symmetry_space_group_name_H-M 'P 1'
_symmetry_Int_Tables_number 1
loop_
_symmetry_equiv_pos_as_xyz
'x,y,z'
loop_
_atom_site_label
_atom_site_fract_x
_atom_site_fract_y
_atom_site_fract_z
Ir1 0.667 0.333 0.403
Ir2 0.333 0.667 0.903
Ir3 0.667 0.333 0.097
Ir4 0.333 0.667 0.597
Zr1 0.333 0.667 0.250
Zr2 0.667 0.333 0.750
Li1 0.000 0.000 0.500
Li2 0.000 0.000 0.000
```

Calculated values
Total magnetic moment ... 0.04 Bohr magnetons per cell

=====

NaLaCu: optimized geometry, GGA-PBE.

Structure (CIF):
```
data_NaLaCu
_cell_length_a 4.880
_cell_length_b 4.880
_cell_length_c 4.880
_cell_angle_alpha 60.00
_cell_angle_beta 60.00
_cell_angle_gamma 60.00
_symmetry_space_group_name_H-M 'P 1'
_symmetry_Int_Tables_number 1
loop_
_symmetry_equiv_pos_as_xyz
'x,y,z'
loop_
_atom_site_label
_atom_site_fract_x
_atom_site_fract_y
_atom_site_fract_z
Cu1 0.250 0.250 0.250
Na1 0.000 0.000 0.000
La1 0.750 0.750 0.750
```

Calculated values
Total magnetic moment ... 1.20 Bohr magnetons per cell

=====

Zn2Tc2O5: optimized geometry, GGA-PBE.

Structure (CIF):
```
data_Zn2Tc2O5
_cell_length_a 8.269
_cell_length_b 3.528
_cell_length_c 3.528
_cell_angle_alpha 90.00
_cell_angle_beta 90.00
_cell_angle_gamma 90.00
_symmetry_space_group_name_H-M 'P 1'
_symmetry_Int_Tables_number 1
loop_
_symmetry_equiv_pos_as_xyz
'x,y,z'
loop_
_atom_site_label
_atom_site_fract_x
_atom_site_fract_y
_atom_site_fract_z
O1 0.857 0.500 0.000
O2 0.857 0.000 0.500
O3 0.143 0.000 0.500
O4 0.143 0.500 0.000
O5 0.500 0.500 0.500
Tc1 0.000 0.000 0.000
Tc2 0.500 0.000 0.000
Zn1 0.256 0.500 0.500
Zn2 0.744 0.500 0.500
```

Calculated values
Total magnetic moment ... 5.88 Bohr magnetons per cell

=====

Al3PdSe: optimized geometry, GGA-PBE.

Structure (CIF):
```
data_Al3PdSe
_cell_length_a 4.822
_cell_length_b 4.822
_cell_length_c 4.822
_cell_angle_alpha 90.00
_cell_angle_beta 90.00
_cell_angle_gamma 90.00
_symmetry_space_group_name_H-M 'P 1'
_symmetry_Int_Tables_number 1
loop_
_symmetry_equiv_pos_as_xyz
'x,y,z'
loop_
_atom_site_label
_atom_site_fract_x
_atom_site_fract_y
_atom_site_fract_z
Se1 0.500 0.500 0.500
Pd1 0.000 0.000 0.000
Al1 0.500 0.500 0.000
Al2 0.500 0.000 0.500
Al3 0.000 0.500 0.500
```

=====

BeNiW: optimized geometry, GGA-PBE.

Structure (CIF):
```
data_BeNiW
_cell_length_a 3.820
_cell_length_b 3.820
_cell_length_c 3.820
_cell_angle_alpha 60.00
_cell_angle_beta 60.00
_cell_angle_gamma 60.00
_symmetry_space_group_name_H-M 'P 1'
_symmetry_Int_Tables_number 1
loop_
_symmetry_equiv_pos_as_xyz
'x,y,z'
loop_
_atom_site_label
_atom_site_fract_x
_atom_site_fract_y
_atom_site_fract_z
Be1 0.250 0.250 0.250
Ni1 0.000 0.000 0.000
W1 0.750 0.750 0.750
```

Calculated values
Total magnetic moment ... 0.00 Bohr magnetons per cell

=====

Ordered calculated total energy results: -5.42, -5.40, -7.21, -7.44, -2.68, -5.94, -3.32, -7.18; unit eV/atom.